(1)
{"formula": "BeSiPb2", "functional": "meta-GGA SCAN", "state": "PBEsol geometry", "e_form_raw_ev_per_atom": 0.882, "volume_a3_per_atom": 22.2, "crystal_system": "cubic", "n_ef_per_ev_atom": 0.49, "lattice_angstrom": [[-4.744, 0.356, -1.568], [-3.750, -0.126, 3.318], [-2.646, 4.146, 0.947]], "species": ["Pb", "Pb", "Be", "Si"], "frac_coords": [[0.000, 0.000, 0.000], [0.750, 0.750, 0.750], [0.500, 0.500, 0.500], [0.250, 0.250, 0.250]]}

=====

(2)
{"formula": "TaBe2Pb", "functional": "meta-GGA SCAN", "state": "PBEsol geometry", "volume_a3_per_atom": 16.3, "crystal_system": "cubic", "n_ef_per_ev_atom": 0.77, "final_energy_ev_per_cell": -146.803, "lattice_angstrom": [[-2.128, 0.178, -3.983], [1.743, -2.122, -3.590], [-2.024, -3.690, -1.647]], "species": ["Pb", "Be", "Be", "Ta"], "frac_coords": [[0.500, 0.500, 0.500], [0.000, 0.000, 0.000], [0.750, 0.750, 0.750], [0.250, 0.250, 0.250]]}

=====

(3)
{"formula": "TaBe2Pb", "functional": "meta-GGA SCAN", "state": "PBEsol geometry", "volume_a3_per_atom": 15.9, "crystal_system": "tetragonal", "n_ef_per_ev_atom": 0.47, "final_energy_ev_per_cell": -149.390, "lattice_angstrom": [[-0.454, 1.146, -3.112], [2.679, -1.723, -1.026], [-3.314, -4.462, -1.159]], "species": ["Pb", "Be", "Be", "Ta"], "frac_coords": [[0.500, 0.500, 0.000], [0.000, 0.000, 0.677], [0.000, 0.000, 0.323], [0.500, 0.500, 0.500]]}

=====

(4)
{"formula": "TaBe2Pb", "functional": "meta-GGA SCAN", "state": "PBEsol geometry", "volume_a3_per_atom": 15.2, "crystal_system": "orthorhombic", "n_ef_per_ev_atom": 0.35, "final_energy_ev_per_cell": -148.873, "lattice_angstrom": [[3.002, 0.000, 0.000], [0.000, 4.533, 0.007], [0.000, -0.855, 4.452]], "species": ["Pb", "Be", "Be", "Ta"], "frac_coords": [[0.500, 0.500, 0.500], [0.000, 0.000, 0.500], [0.000, 0.500, 0.000], [0.500, 0.000, 0.000]]}